Entry from OQMD via LeMat-Bulk: crystalline Sr2GaOsO6 at its relaxed geometry (PBE).

Summary:
- Total moment: 3.002 μB/f.u.
- Symmetry: P-1, No. 2
- Raw total energy: -6.7288 eV per atom

The structure in POSCAR format:
```
Sr2GaOsO6
1.0
5.5530 0.0000 0.0000
-0.0025 5.5538 0.0000
0.0000 -0.0008 7.8613
Ga O Sr Os
2 12 4 2
Direct
0.9499 0.0498 0.5000
0.4501 0.5502 0.0000
0.4511 0.5503 0.2499
0.1976 0.7973 0.0004
0.2034 0.2976 0.0008
0.6966 0.8030 0.9992
0.7059 0.7944 0.5009
0.4488 0.5492 0.7501
0.6946 0.2940 0.5003
0.9488 0.0500 0.2501
0.2050 0.8053 0.4997
0.7029 0.3035 0.9995
0.9512 0.0505 0.7499
0.1941 0.3049 0.4991
0.9501 0.5500 0.7501
0.4499 0.0500 0.2499
0.9500 0.5501 0.2500
0.4500 0.0499 0.7500
0.9501 0.0503 0.0000
0.4499 0.5497 0.5000
```